First-principles (SCAN) data for a crystal of TlCuTc2 relaxed with PBEsol, as listed in the Alexandria database.

Cell and atoms, written as CIF:
```
data_TlCuTc2
_symmetry_space_group_name_H-M 'I m m 2'
_symmetry_Int_Tables_number 44
_cell_length_a 3.9885
_cell_length_b 4.0717
_cell_length_c 7.4125
_cell_angle_alpha 90.00
_cell_angle_beta 90.00
_cell_angle_gamma 90.00
loop_
_symmetry_equiv_pos_as_xyz
'x,y,z'
'-x,-y,z'
'-x,y,z'
'x,-y,z'
'x+1/2,y+1/2,z+1/2'
'-x+1/2,-y+1/2,z+1/2'
'-x+1/2,y+1/2,z+1/2'
'x+1/2,-y+1/2,z+1/2'
loop_
_atom_site_label
_atom_site_type_symbol
_atom_site_fract_x
_atom_site_fract_y
_atom_site_fract_z
_atom_site_occupancy
Tl1 Tl 0.0000 0.0000 0.0000 1
Cu1 Cu 0.0000 0.5000 0.7511 1
Tc1 Tc 0.0000 0.0000 0.5027 1
Tc2 Tc 0.0000 0.5000 0.2471 1
```

- Calculated formation energy: 564.0 meV/atom
- Crystal system: orthorhombic
- Fermi-level density of states: 2.72 states/eV/f.u.
- Magnetization: 0.00 μB/f.u.
- Calculated density: 12.799 Mg/m³
- Calculated volume: 60.2 Å³/f.u.
- Electronic total energy: -38.86 eV/atom



First-principles (SCAN) data for a crystal of TlCuTc relaxed with PBEsol, as listed in the Alexandria database.

Cell and atoms, written as CIF:
```
data_TlCuTc
_symmetry_space_group_name_H-M 'I m m 2'
_symmetry_Int_Tables_number 44
_cell_length_a 2.8269
_cell_length_b 3.4402
_cell_length_c 9.7579
_cell_angle_alpha 90.00
_cell_angle_beta 90.00
_cell_angle_gamma 90.00
loop_
_symmetry_equiv_pos_as_xyz
'x,y,z'
'-x,-y,z'
'-x,y,z'
'x,-y,z'
'x+1/2,y+1/2,z+1/2'
'-x+1/2,-y+1/2,z+1/2'
'-x+1/2,y+1/2,z+1/2'
'x+1/2,-y+1/2,z+1/2'
loop_
_atom_site_label
_atom_site_type_symbol
_atom_site_fract_x
_atom_site_fract_y
_atom_site_fract_z
_atom_site_occupancy
Tl1 Tl 0.0000 0.0000 0.0000 1
Cu1 Cu 0.0000 0.0000 0.6739 1
Tc1 Tc 0.0000 0.0000 0.3081 1
```

- Excess energy over the best structure of this formula in the dataset: 0 meV/atom
- Calculated formation energy: 704.8 meV/atom
- Crystal system: orthorhombic
- Fermi-level density of states: 2.27 states/eV/f.u.
- Magnetization: 0.00 μB/f.u.
- Calculated density: 12.806 Mg/m³
- Calculated volume: 47.4 Å³/f.u.
- Electronic total energy: -40.17 eV/atom



First-principles (SCAN) data for a crystal of TlCu2Tc relaxed with PBEsol, as listed in the Alexandria database.

Cell and atoms, written as CIF:
```
data_TlCu2Tc
_symmetry_space_group_name_H-M 'F -4 3 m'
_symmetry_Int_Tables_number 216
_symmetry_space_group_name_Hall 'F -4 2 3'
_cell_length_a 6.1998
_cell_length_b 6.1998
_cell_length_c 6.1998
_cell_angle_alpha 90.00
_cell_angle_beta 90.00
_cell_angle_gamma 90.00
loop_
_atom_site_label
_atom_site_type_symbol
_atom_site_fract_x
_atom_site_fract_y
_atom_site_fract_z
_atom_site_occupancy
Tl1 Tl 0.0000 0.0000 0.0000 1
Cu1 Cu 0.0000 0.0000 0.5000 1
Cu2 Cu 0.2500 0.2500 0.2500 1
Tc1 Tc 0.2500 0.2500 0.7500 1
```

- Excess energy over the best structure of this formula in the dataset: 46 meV/atom
- Calculated formation energy: 635.8 meV/atom
- Crystal system: cubic
- Fermi-level density of states: 2.47 states/eV/f.u.
- Magnetization: 1.92 μB/f.u.
- Calculated density: 11.970 Mg/m³
- Calculated volume: 59.6 Å³/f.u.
- Electronic total energy: -33.82 eV/atom



First-principles (SCAN) data for a crystal of TlCu2Tc relaxed with PBEsol, as listed in the Alexandria database.

Cell and atoms, written as CIF:
```
data_TlCu2Tc
_symmetry_space_group_name_H-M 'F m -3 m'
_symmetry_Int_Tables_number 225
_symmetry_space_group_name_Hall '-F 4 2 3'
_cell_length_a 6.1485
_cell_length_b 6.1485
_cell_length_c 6.1485
_cell_angle_alpha 90.00
_cell_angle_beta 90.00
_cell_angle_gamma 90.00
loop_
_atom_site_label
_atom_site_type_symbol
_atom_site_fract_x
_atom_site_fract_y
_atom_site_fract_z
_atom_site_occupancy
Tl1 Tl 0.0000 0.0000 0.0000 1
Cu1 Cu 0.2500 0.2500 0.2500 1
Tc1 Tc 0.0000 0.0000 0.5000 1
```

- Excess energy over the best structure of this formula in the dataset: 0 meV/atom
- Calculated formation energy: 589.6 meV/atom
- Crystal system: cubic
- Fermi-level density of states: 1.90 states/eV/f.u.
- Magnetization: 2.44 μB/f.u.
- Calculated density: 12.273 Mg/m³
- Calculated volume: 58.1 Å³/f.u.
- Electronic total energy: -33.86 eV/atom



First-principles (SCAN) data for a crystal of Tl2CuTc relaxed with PBEsol, as listed in the Alexandria database.

Cell and atoms, written as CIF:
```
data_Tl2CuTc
_symmetry_space_group_name_H-M 'F -4 3 m'
_symmetry_Int_Tables_number 216
_symmetry_space_group_name_Hall 'F -4 2 3'
_cell_length_a 6.7095
_cell_length_b 6.7095
_cell_length_c 6.7095
_cell_angle_alpha 90.00
_cell_angle_beta 90.00
_cell_angle_gamma 90.00
loop_
_atom_site_label
_atom_site_type_symbol
_atom_site_fract_x
_atom_site_fract_y
_atom_site_fract_z
_atom_site_occupancy
Tl1 Tl 0.0000 0.0000 0.0000 1
Tl2 Tl 0.2500 0.2500 0.2500 1
Cu1 Cu 0.0000 0.0000 0.5000 1
Tc1 Tc 0.2500 0.2500 0.7500 1
```

- Excess energy over the best structure of this formula in the dataset: 227 meV/atom
- Calculated formation energy: 924.9 meV/atom
- Crystal system: cubic
- Fermi-level density of states: 3.23 states/eV/f.u.
- Magnetization: 2.81 μB/f.u.
- Calculated density: 12.542 Mg/m³
- Calculated volume: 75.5 Å³/f.u.
- Electronic total energy: -47.82 eV/atom



First-principles (SCAN) data for a crystal of Tm2CuTc relaxed with PBEsol, as listed in the Alexandria database.

Cell and atoms, written as CIF:
```
data_Tm2CuTc
_symmetry_space_group_name_H-M 'F m -3 m'
_symmetry_Int_Tables_number 225
_symmetry_space_group_name_Hall '-F 4 2 3'
_cell_length_a 6.6704
_cell_length_b 6.6704
_cell_length_c 6.6704
_cell_angle_alpha 90.00
_cell_angle_beta 90.00
_cell_angle_gamma 90.00
loop_
_atom_site_label
_atom_site_type_symbol
_atom_site_fract_x
_atom_site_fract_y
_atom_site_fract_z
_atom_site_occupancy
Tm1 Tm 0.2500 0.2500 0.2500 1
Cu1 Cu 0.0000 0.0000 0.0000 1
Tc1 Tc 0.0000 0.0000 0.5000 1
```

- Calculated formation energy: -215.3 meV/atom
- Crystal system: cubic
- Fermi-level density of states: 2.30 states/eV/f.u.
- Magnetization: 0.00 μB/f.u.
- Calculated density: 11.177 Mg/m³
- Calculated volume: 74.2 Å³/f.u.
- Electronic total energy: -38.70 eV/atom



First-principles (SCAN) data for a crystal of Cu2TcW relaxed with PBEsol, as listed in the Alexandria database.

Cell and atoms, written as CIF:
```
data_Cu2TcW
_symmetry_space_group_name_H-M 'I m m 2'
_symmetry_Int_Tables_number 44
_cell_length_a 3.6380
_cell_length_b 3.8308
_cell_length_c 7.5371
_cell_angle_alpha 90.00
_cell_angle_beta 90.00
_cell_angle_gamma 90.00
loop_
_symmetry_equiv_pos_as_xyz
'x,y,z'
'-x,-y,z'
'-x,y,z'
'x,-y,z'
'x+1/2,y+1/2,z+1/2'
'-x+1/2,-y+1/2,z+1/2'
'-x+1/2,y+1/2,z+1/2'
'x+1/2,-y+1/2,z+1/2'
loop_
_atom_site_label
_atom_site_type_symbol
_atom_site_fract_x
_atom_site_fract_y
_atom_site_fract_z
_atom_site_occupancy
Cu1 Cu 0.0000 0.0000 0.0000 1
Cu2 Cu 0.0000 0.5000 0.2575 1
Tc1 Tc 0.0000 0.5000 0.7526 1
W1 W 0.0000 0.0000 0.5049 1
```

- Excess energy over the best structure of this formula in the dataset: 0 meV/atom
- Calculated formation energy: 220.2 meV/atom
- Crystal system: orthorhombic
- Fermi-level density of states: 2.22 states/eV/f.u.
- Magnetization: 0.00 μB/f.u.
- Calculated density: 12.929 Mg/m³
- Calculated volume: 52.5 Å³/f.u.
- Electronic total energy: -33.57 eV/atom



First-principles (SCAN) data for a crystal of Cu2TcW relaxed with PBEsol, as listed in the Alexandria database.

Cell and atoms, written as CIF:
```
data_Cu2TcW
_symmetry_space_group_name_H-M 'F -4 3 m'
_symmetry_Int_Tables_number 216
_symmetry_space_group_name_Hall 'F -4 2 3'
_cell_length_a 5.9886
_cell_length_b 5.9886
_cell_length_c 5.9886
_cell_angle_alpha 90.00
_cell_angle_beta 90.00
_cell_angle_gamma 90.00
loop_
_atom_site_label
_atom_site_type_symbol
_atom_site_fract_x
_atom_site_fract_y
_atom_site_fract_z
_atom_site_occupancy
Cu1 Cu 0.0000 0.0000 0.0000 1
Cu2 Cu 0.2500 0.2500 0.2500 1
Tc1 Tc 0.2500 0.2500 0.7500 1
W1 W 0.0000 0.0000 0.5000 1
```

- Excess energy over the best structure of this formula in the dataset: 112 meV/atom
- Calculated formation energy: 332.3 meV/atom
- Crystal system: cubic
- Fermi-level density of states: 2.52 states/eV/f.u.
- Magnetization: 0.00 μB/f.u.
- Calculated density: 12.647 Mg/m³
- Calculated volume: 53.7 Å³/f.u.
- Electronic total energy: -33.45 eV/atom



First-principles (SCAN) data for a crystal of Cu2TcW relaxed with PBEsol, as listed in the Alexandria database.

Cell and atoms, written as CIF:
```
data_Cu2TcW
_symmetry_space_group_name_H-M 'P 4 m m'
_symmetry_Int_Tables_number 99
_cell_length_a 2.6240
_cell_length_b 2.6240
_cell_length_c 7.6357
_cell_angle_alpha 90.00
_cell_angle_beta 90.00
_cell_angle_gamma 90.00
loop_
_symmetry_equiv_pos_as_xyz
'x,y,z'
'-y,x,z'
'-x,-y,z'
'y,-x,z'
'-x,y,z'
'y,x,z'
'x,-y,z'
'-y,-x,z'
loop_
_atom_site_label
_atom_site_type_symbol
_atom_site_fract_x
_atom_site_fract_y
_atom_site_fract_z
_atom_site_occupancy
Cu1 Cu 0.0000 0.0000 0.0000 1
Cu2 Cu 0.5000 0.5000 0.2204 1
Tc1 Tc 0.0000 0.0000 0.4631 1
W1 W 0.5000 0.5000 0.7485 1
```

- Excess energy over the best structure of this formula in the dataset: 47 meV/atom
- Calculated formation energy: 267.0 meV/atom
- Crystal system: tetragonal
- Fermi-level density of states: 2.75 states/eV/f.u.
- Magnetization: 0.00 μB/f.u.
- Calculated density: 12.916 Mg/m³
- Calculated volume: 52.6 Å³/f.u.
- Electronic total energy: -33.52 eV/atom



First-principles (SCAN) data for a crystal of Cu2TcW relaxed with PBEsol, as listed in the Alexandria database.

Cell and atoms, written as CIF:
```
data_Cu2TcW
_symmetry_space_group_name_H-M 'C m m 2'
_symmetry_Int_Tables_number 35
_cell_length_a 3.1143
_cell_length_b 4.1780
_cell_length_c 8.2381
_cell_angle_alpha 90.00
_cell_angle_beta 90.00
_cell_angle_gamma 90.00
loop_
_symmetry_equiv_pos_as_xyz
'x,y,z'
'-x,-y,z'
'-x,y,z'
'x,-y,z'
'x+1/2,y+1/2,z'
'-x+1/2,-y+1/2,z'
'-x+1/2,y+1/2,z'
'x+1/2,-y+1/2,z'
loop_
_atom_site_label
_atom_site_type_symbol
_atom_site_fract_x
_atom_site_fract_y
_atom_site_fract_z
_atom_site_occupancy
Cu1 Cu 0.0000 0.0000 0.0000 1
Cu2 Cu 0.0000 0.5000 0.2289 1
Tc1 Tc 0.0000 0.5000 0.7490 1
W1 W 0.0000 0.0000 0.4846 1
```

- Excess energy over the best structure of this formula in the dataset: 0 meV/atom
- Calculated formation energy: 220.0 meV/atom
- Crystal system: orthorhombic
- Fermi-level density of states: 2.60 states/eV/f.u.
- Magnetization: 0.00 μB/f.u.
- Calculated density: 12.670 Mg/m³
- Calculated volume: 53.6 Å³/f.u.
- Electronic total energy: -33.57 eV/atom



First-principles (SCAN) data for a crystal of Cu2TcW relaxed with PBEsol, as listed in the Alexandria database.

Cell and atoms, written as CIF:
```
data_Cu2TcW
_symmetry_space_group_name_H-M 'P m m 2'
_symmetry_Int_Tables_number 25
_cell_length_a 2.5910
_cell_length_b 3.8672
_cell_length_c 5.3190
_cell_angle_alpha 90.00
_cell_angle_beta 90.00
_cell_angle_gamma 90.00
loop_
_symmetry_equiv_pos_as_xyz
'x,y,z'
'-x,-y,z'
'-x,y,z'
'x,-y,z'
loop_
_atom_site_label
_atom_site_type_symbol
_atom_site_fract_x
_atom_site_fract_y
_atom_site_fract_z
_atom_site_occupancy
Cu1 Cu 0.0000 0.0000 0.0000 1
Cu2 Cu 0.5000 0.5000 0.2222 1
Tc1 Tc 0.0000 0.0000 0.4842 1
W1 W 0.5000 0.5000 0.7368 1
```

- Excess energy over the best structure of this formula in the dataset: 45 meV/atom
- Calculated formation energy: 265.5 meV/atom
- Crystal system: orthorhombic
- Fermi-level density of states: 2.09 states/eV/f.u.
- Magnetization: 0.00 μB/f.u.
- Calculated density: 12.741 Mg/m³
- Calculated volume: 53.3 Å³/f.u.
- Electronic total energy: -33.52 eV/atom



First-principles (SCAN) data for a crystal of Cu2TcW relaxed with PBEsol, as listed in the Alexandria database.

Cell and atoms, written as CIF:
```
data_Cu2TcW
_symmetry_space_group_name_H-M 'P 4/m m m'
_symmetry_Int_Tables_number 123
_symmetry_space_group_name_Hall '-P 4 2'
_cell_length_a 3.6141
_cell_length_b 3.6141
_cell_length_c 4.0136
_cell_angle_alpha 90.00
_cell_angle_beta 90.00
_cell_angle_gamma 90.00
loop_
_atom_site_label
_atom_site_type_symbol
_atom_site_fract_x
_atom_site_fract_y
_atom_site_fract_z
_atom_site_occupancy
Cu1 Cu 0.0000 0.5000 0.0000 1
Tc1 Tc 0.0000 0.0000 0.5000 1
W1 W 0.5000 0.5000 0.5000 1
```

- Excess energy over the best structure of this formula in the dataset: 8 meV/atom
- Calculated formation energy: 227.7 meV/atom
- Crystal system: tetragonal
- Fermi-level density of states: 1.76 states/eV/f.u.
- Magnetization: 0.00 μB/f.u.
- Calculated density: 12.953 Mg/m³
- Calculated volume: 52.4 Å³/f.u.
- Electronic total energy: -33.56 eV/atom